Record 1
Compound: HoPdAu3
Source: the Alexandria database
Functional: PBE-GGA
Structure: optimized geometry

Cell lengths 5.039, 5.844, 13.151 Å; angles 90.00, 90.00, 90.00 degrees
Sites, in units of the cell vectors:
Ho  0.250  0.251  0.051
Ho  0.750  0.249  0.551
Ho  0.750  0.749  0.949
Ho  0.250  0.751  0.449
Pd  0.250  0.995  0.865
Pd  0.750  0.505  0.365
Pd  0.750  0.005  0.135
Pd  0.250  0.495  0.635
Au  0.250  0.006  0.249
Au  0.750  0.494  0.749
Au  0.750  0.994  0.751
Au  0.250  0.506  0.251
Au  0.250  0.255  0.434
Au  0.750  0.245  0.934
Au  0.750  0.745  0.566
Au  0.250  0.755  0.066
Au  0.250  0.510  0.857
Au  0.750  0.990  0.357
Au  0.750  0.490  0.143
Au  0.250  0.010  0.643

Computed properties:
Fermi-level density of states (states/eV/cell): 7.67
ΔH_f (0 K) (eV per atom): -0.561
Total magnetization (μB per formula unit): 0.0
Offset from the most stable computed form (meV per atom): 0
Space-group type: Pnma, No. 62

---

Record 2
Compound: Ho3Pd2Au3
Source: the Alexandria database
Functional: PBE-GGA
Structure: optimized geometry

Cell lengths 3.617, 7.376, 7.376 Å; angles 120.00, 90.00, 90.00 degrees
Sites, in units of the cell vectors:
Ho  0.500  0.394  0.394
Ho  0.500  0.606  0.000
Ho  0.500  0.000  0.606
Pd  0.000  0.333  0.667
Pd  0.000  0.667  0.333
Au  0.000  0.765  0.765
Au  0.000  0.235  0.000
Au  0.000  0.000  0.235

Computed properties:
Fermi-level density of states (states/eV/cell): 5.97
ΔH_f (0 K) (eV per atom): -0.888
Total magnetization (μB per formula unit): 0.0
Space-group type: P-62m, No. 189

---

Record 3
Compound: HoPd6Au3
Source: the Alexandria database
Functional: PBE-GGA
Structure: optimized geometry

Cell lengths 4.229, 8.801, 9.220 Å; angles 93.77, 90.00, 90.00 degrees
Sites, in units of the cell vectors:
Ho  0.250  0.934  0.625
Ho  0.750  0.066  0.375
Pd  0.250  0.454  0.101
Pd  0.750  0.546  0.899
Pd  0.250  0.160  0.202
Pd  0.750  0.840  0.798
Pd  0.250  0.637  0.699
Pd  0.750  0.363  0.301
Pd  0.250  0.247  0.506
Pd  0.750  0.753  0.494
Pd  0.250  0.854  0.300
Pd  0.750  0.146  0.700
Pd  0.250  0.050  0.908
Pd  0.750  0.950  0.092
Au  0.250  0.553  0.399
Au  0.750  0.447  0.601
Au  0.250  0.343  0.807
Au  0.750  0.657  0.193
Au  0.250  0.749  0.992
Au  0.750  0.251  0.008

Computed properties:
Fermi-level density of states (states/eV/cell): 10.90
ΔH_f (0 K) (eV per atom): -0.345
Total magnetization (μB per formula unit): 0.0
Offset from the most stable computed form (meV per atom): 0
Space-group type: P2_1/m, No. 11

---

Record 4
Compound: Ho5Pd2Au2
Source: the Alexandria database
Functional: PBE-GGA
Structure: optimized geometry

Cell lengths 7.669, 7.434, 8.499 Å; angles 115.94, 90.00, 90.00 degrees
Sites, in units of the cell vectors:
Ho  0.000  0.000  0.000
Ho  0.500  0.500  0.000
Ho  0.829  0.807  0.271
Ho  0.171  0.463  0.271
Ho  0.329  0.963  0.271
Ho  0.671  0.307  0.271
Ho  0.171  0.193  0.729
Ho  0.829  0.537  0.729
Ho  0.671  0.037  0.729
Ho  0.329  0.693  0.729
Pd  0.631  0.871  0.000
Pd  0.369  0.129  0.000
Pd  0.131  0.629  0.000
Pd  0.869  0.371  0.000
Au  0.000  0.206  0.411
Au  0.500  0.706  0.411
Au  0.000  0.794  0.589
Au  0.500  0.294  0.589

Computed properties:
Fermi-level density of states (states/eV/cell): 12.59
ΔH_f (0 K) (eV per atom): -0.795
Total magnetization (μB per formula unit): 0.0
Space-group type: Cmce, No. 64

---

Record 5
Compound: Ho12Pd3Au5
Source: the Alexandria database
Functional: PBE-GGA
Structure: optimized geometry

Cell lengths 14.596, 14.596, 14.596 Å; angles 109.47, 109.47, 109.47 degrees
Sites, in units of the cell vectors:
Pd  0.750  0.375  0.125
Pd  0.875  0.750  0.125
Pd  0.375  0.750  0.625
Pd  0.250  0.125  0.375
Pd  0.875  0.125  0.250
Pd  0.375  0.625  0.250
Pd  0.625  0.375  0.750
Pd  0.125  0.875  0.750
Pd  0.750  0.875  0.625
Pd  0.625  0.250  0.375
Pd  0.125  0.250  0.875
Pd  0.250  0.625  0.875
Au  0.125  0.375  0.250
Au  0.000  0.500  0.000
Au  0.000  0.000  0.000
Au  0.375  0.250  0.125
Au  0.500  0.000  0.500
Au  0.500  0.500  0.000
Au  0.125  0.750  0.375
Au  0.750  0.125  0.875
Au  0.750  0.625  0.375
Au  0.375  0.125  0.750
Au  0.625  0.875  0.250
Au  0.500  0.500  0.500
Au  0.500  0.000  0.000
Au  0.000  0.000  0.500
Au  0.250  0.375  0.625
Au  0.250  0.875  0.125
Au  0.000  0.500  0.500
Au  0.875  0.250  0.625
Au  0.625  0.750  0.875
Au  0.875  0.625  0.750
Ho  0.725  0.132  0.057
Ho  0.332  0.557  0.424
Ho  0.943  0.368  0.275
Ho  0.557  0.225  0.132
Ho  0.592  0.725  0.668
Ho  0.943  0.576  0.168
Ho  0.332  0.775  0.408
Ho  0.076  0.908  0.132
Ho  0.576  0.943  0.668
Ho  0.725  0.592  0.168
Ho  0.775  0.443  0.368
Ho  0.832  0.924  0.057
Ho  0.132  0.725  0.557
Ho  0.368  0.424  0.092
Ho  0.092  0.924  0.368
Ho  0.408  0.132  0.576
Ho  0.092  0.168  0.225
Ho  0.443  0.668  0.076
Ho  0.832  0.908  0.275
Ho  0.132  0.408  0.076
Ho  0.368  0.943  0.775
Ho  0.576  0.632  0.408
Ho  0.924  0.832  0.557
Ho  0.775  0.332  0.908
Ho  0.424  0.368  0.592
Ho  0.076  0.168  0.443
Ho  0.225  0.668  0.092
Ho  0.168  0.092  0.725
Ho  0.632  0.057  0.225
Ho  0.868  0.592  0.924
Ho  0.557  0.332  0.924
Ho  0.592  0.868  0.424
Ho  0.908  0.832  0.775
Ho  0.908  0.076  0.632
Ho  0.868  0.275  0.443
Ho  0.168  0.076  0.943
Ho  0.632  0.576  0.908
Ho  0.424  0.057  0.332
Ho  0.275  0.408  0.832
Ho  0.225  0.557  0.632
Ho  0.924  0.092  0.868
Ho  0.668  0.225  0.592
Ho  0.443  0.775  0.868
Ho  0.057  0.424  0.832
Ho  0.408  0.275  0.332
Ho  0.057  0.632  0.725
Ho  0.668  0.443  0.576
Ho  0.275  0.868  0.943

Computed properties:
Fermi-level density of states (states/eV/cell): 65.86
ΔH_f (0 K) (eV per atom): -0.332
Total magnetization (μB per formula unit): 0.0
Space-group type: Ia-3d, No. 230

---

Record 6
Compound: Ho4Pd7Au
Source: the Alexandria database
Functional: PBE-GGA
Structure: optimized geometry

Cell lengths 5.594, 10.076, 6.803 Å; angles 76.16, 50.96, 54.17 degrees
Sites, in units of the cell vectors:
Ho  0.690  0.204  0.453
Ho  0.310  0.796  0.547
Ho  0.718  0.648  0.889
Ho  0.282  0.352  0.111
Pd  0.770  0.874  0.518
Pd  0.230  0.126  0.482
Pd  0.005  0.713  0.087
Pd  0.995  0.287  0.913
Pd  0.636  0.460  0.652
Pd  0.500  0.000  0.000
Pd  0.364  0.540  0.348
Au  0.000  0.000  0.000

Computed properties:
Fermi-level density of states (states/eV/cell): 6.05
ΔH_f (0 K) (eV per atom): -0.830
Total magnetization (μB per formula unit): 0.0
Space-group type: P-1, No. 2